La2Nd5HoEr: relaxed, GGA-PBE.

Results
The crystal system is orthorhombic. Its formation energy is 0.123 eV/atom. The density of states at the Fermi level comes out at 1.436 states/eV/atom.

Unit cell a=10.623 b=10.623 c=10.838 alpha=90.00 beta=90.00 gamma=148.70
Positions (direct):
La1 0.114 0.886 0.500
La2 0.117 0.883 0.080
La3 0.883 0.117 0.580
La4 0.886 0.114 0.000
Nd1 0.015 0.985 0.784
Nd2 0.278 0.722 0.076
Nd3 0.295 0.705 0.467
Nd4 0.384 0.616 0.786
Nd5 0.483 0.517 0.508
Nd6 0.517 0.483 0.008
Nd7 0.616 0.384 0.286
Nd8 0.705 0.295 0.967
Nd9 0.722 0.278 0.576
Nd10 0.985 0.015 0.284
Ho1 0.200 0.800 0.774
Ho2 0.800 0.200 0.274
Er1 0.407 0.593 0.230
Er2 0.593 0.407 0.730